## YTl2CrF (PBE+U)

Data for a relaxed YTl2CrF crystal.

Computed properties:
Space group   P4/mmm (123)
Crystal system   tetragonal
Fermi-level density of states   2.70 states/eV/f.u.
Final energy   -4.72 eV per atom

a = 5.5320 Å, b = 5.5320 Å, c = 3.9432 Å
α = 90.00°, β = 90.00°, γ = 90.00°
With the nearest neighbours (Å) after each atom.
Fractional coordinates of all 5 atoms:
Y 0.0000 0.0000 0.0000  8 Tl 3.40
Tl 0.0000 0.5000 0.5000  2 F 2.77
Tl 0.5000 0.0000 0.5000  2 F 2.77
Cr 0.5000 0.5000 0.0000  2 F 1.97
F 0.5000 0.5000 0.5000  2 Cr 1.97